Here is crystalline Ta2TlCu at its relaxed geometry from Alexandria via LeMat-Bulk. Energies are from PBE-GGA.

Results
Formation energy from the elements   424.1 meV/atom
Total magnetic moment   0.00 μB/cell

a b c (Å): 9.9646 3.0291 4.9284
angles (deg): 90.00 101.81 90.00
Closest atoms and distances in Å follow each position.
Space group C2/m (No. 12)
Asymmetric unit:
Ta: 0.2450 0.0000 0.2355 x4  6 Ta 2.79-3.03, 3 Cu 2.91-3.00, 3 Tl 2.99-3.02
Tl: 0.0000 0.0000 0.5000 x2  4 Cu 2.89, 6 Ta 2.99-3.02, 2 Tl 3.03
Cu: 0.0000 0.5000 0.0000 x2  4 Tl 2.89, 6 Ta 2.91-3.00, 2 Cu 3.03